Record 1
DFT (PBE-GGA) results for RbCuTcSe3 after structural relaxation.

Cell: 13.4730 3.8242 11.6975 Å, 90.00 90.00 90.00°
Closest atoms and distances in Å follow each position.
Space group Pnma (No. 62)
Symmetry-distinct sites (fractional):
1 Rb 0.1619 0.2500 0.0328 [4 per cell]  3 Cu 3.39-3.51, 7 Se 3.47-3.67
2 Cu 0.2272 0.7500 0.2729 [4 per cell]  3 Se 2.34-2.36
3 Tc 0.0293 0.7500 0.6372 [4 per cell]  6 Se 2.53-2.60
4 Se 0.0551 0.7500 0.2475 [4 per cell]  1 Cu 2.34, 2 Tc 2.60
5 Se 0.1088 0.2500 0.5171 [4 per cell]  3 Tc 2.59-2.60
6 Se 0.1704 0.7500 0.7798 [4 per cell]  2 Cu 2.36, 1 Tc 2.53

polymorph energy (0 for the lowest one) = 0.433 eV/f.u.
magnetization = 2.66 μB per formula unit



Record 2
DFT (PBE-GGA) results for RbCuTcSe3 after structural relaxation.

Cell: 8.3101 3.8189 10.0472 Å, 90.00 114.33 90.00°
Closest atoms and distances in Å follow each position.
Space group P2_1/m (No. 11)
Symmetry-distinct sites (fractional):
1 Rb 0.0156 0.2500 0.2753 [2 per cell]  7 Se 3.42-3.77, 2 Rb 3.82
2 Cu 0.4731 0.7500 0.3919 [2 per cell]  4 Se 2.36-2.52
3 Tc 0.4791 0.2500 0.1710 [2 per cell]  6 Se 2.51-2.61
4 Se 0.2640 0.7500 0.1459 [2 per cell]  1 Cu 2.36, 2 Tc 2.56
5 Se 0.3203 0.7500 0.5622 [2 per cell]  3 Cu 2.48-2.52, 1 Tc 2.51
6 Se 0.3555 0.2500 0.8868 [2 per cell]  3 Tc 2.56-2.61

polymorph energy (0 for the lowest one) = 0.000 eV/f.u.
magnetization = 0.14 μB per formula unit



Record 3
DFT (PBE-GGA) results for RbCuTcSe3 after structural relaxation.

Cell: 3.7724 15.5825 9.8440 Å, 90.00 90.00 90.00°
Closest atoms and distances in Å follow each position.
Space group Cmcm (No. 63)
Symmetry-distinct sites (fractional):
1 Rb 0.0000 0.2443 0.2500 [4 per cell]  8 Se 3.47-3.66, 2 Rb 3.77, 2 Cu 3.82
2 Cu 0.0000 0.4687 0.7500 [4 per cell]  4 Se 2.39-2.41
3 Tc 0.0000 0.0000 0.0000 [4 per cell]  6 Se 2.60-2.66
4 Se 0.0000 0.0654 0.7500 [4 per cell]  2 Cu 2.41, 2 Tc 2.66
5 Se 0.0000 0.3888 0.5426 [8 per cell]  1 Cu 2.39, 2 Tc 2.60

polymorph energy (0 for the lowest one) = 0.223 eV/f.u.
magnetization = 2.43 μB per formula unit